Entry 1:
A relaxed Sr2InNi16 crystal. Source: Alexandria via LeMat-Bulk, functional GGA-PBE.

Cell lengths 6.414, 6.414, 6.414 Å; angles 83.47, 83.47, 83.47 degrees
Each line ends with the local moment (μB).
Element x y z (fractional)
Sr (0.648, 0.648, 0.648)  -0.03
Sr (0.345, 0.345, 0.345)  -0.03
In (0.905, 0.905, 0.905)  -0.03
Ni (0.708, 0.001, 0.293)  0.45
Ni (0.001, 0.293, 0.708)  0.45
Ni (0.293, 0.708, 0.001)  0.45
Ni (0.001, 0.708, 0.293)  0.45
Ni (0.708, 0.293, 0.001)  0.45
Ni (0.293, 0.001, 0.708)  0.45
Ni (0.339, 0.850, 0.339)  0.48
Ni (0.850, 0.339, 0.339)  0.48
Ni (0.339, 0.339, 0.850)  0.48
Ni (0.656, 0.153, 0.656)  0.42
Ni (0.153, 0.656, 0.656)  0.42
Ni (0.656, 0.656, 0.153)  0.42
Ni (0.003, 0.492, 0.003)  0.44
Ni (0.492, 0.003, 0.003)  0.44
Ni (0.003, 0.003, 0.492)  0.44
Ni (0.107, 0.107, 0.107)  0.32

Output
The calculation puts the density at 7.9 g/cm3. The calculation puts the magnetization at 0.34 μB per atom. Its calculated volume is 13.6 A^3/atom. The symmetry is R3m, No. 160. The calculation puts the final energy at -98.9 eV for the cell shown. The formation enthalpy at 0 K is -0.017 eV per atom.

***

Entry 2:
A relaxed SrIn2Ni crystal. Source: Alexandria via LeMat-Bulk, functional GGA-PBE.

Cell lengths 4.481, 4.481, 6.575 Å; angles 70.03, 70.03, 60.02 degrees
Element x y z (fractional)
In (0.041, 0.041, 0.878)
In (0.459, 0.459, 0.622)
Ni (0.750, 0.750, 0.750)
Sr (0.250, 0.250, 0.250)

Output
The calculation puts the density at 5.9 g/cm3. The calculation puts the magnetization at 0.00 μB per atom. Its calculated volume is 26.3 A^3/atom. The symmetry is C2/m, No. 12. The calculation puts the final energy at -13.8 eV for the cell shown. The formation enthalpy at 0 K is -0.220 eV per atom.

***

What is the formula in the second record?
SrIn2Ni